# 1
Material: KCr2Ni
Method: DFT, PBE
State: optimized geometry

## Properties
The calculation puts the calculated formation energy at 0.794 eV/atom. For the polymorph energy (0 for the lowest one), the calculation gives 119 meV per atom.

Unit cell a=2.7098 b=2.7098 c=9.2597 alpha=90.00 beta=90.00 gamma=112.17
With the nearest neighbours (Å) after each atom.
Fractional coordinates of all 4 atoms:
K (0.0000, 0.0000, 0.0000)  6 K 2.71-3.02
Cr (0.0000, 0.0000, 0.4904)  2 Cr 2.23, 2 Ni 2.39
Cr (0.5000, 0.5000, 0.6673)  2 Cr 2.23
Ni (0.5000, 0.5000, 0.2904)  2 Cr 2.39



# 2
Material: K2CrNi
Method: DFT, PBE
State: optimized geometry

## Properties
The calculation puts the calculated formation energy at 1.117 eV/atom. For the polymorph energy (0 for the lowest one), the calculation gives 463 meV per atom.

Unit cell a=5.1943 b=5.1943 c=4.6834 alpha=90.07 beta=90.07 gamma=110.29
With the nearest neighbours (Å) after each atom.
Fractional coordinates of all 4 atoms:
K (0.0000, 0.5000, 0.0000)  2 K 2.97
K (0.5000, 0.0000, 0.0000)  2 K 2.97
Cr (0.0000, 0.0000, 0.5000)  2 Ni 2.97
Ni (0.5000, 0.5000, 0.5000)  2 Cr 2.97



# 3
Material: KCr2Ni
Method: DFT, PBE
State: optimized geometry

## Properties
The calculation puts the calculated formation energy at 1.390 eV/atom. For the polymorph energy (0 for the lowest one), the calculation gives 715 meV per atom.

Unit cell a=4.8559 b=4.8559 c=4.8559 alpha=60.00 beta=60.00 gamma=60.00
With the nearest neighbours (Å) after each atom.
Fractional coordinates of all 4 atoms:
K (0.0000, 0.0000, 0.0000)  4 Cr 2.97, 4 Ni 2.97
Cr (0.2500, 0.2500, 0.2500)  4 Cr 2.97, 4 K 2.97
Cr (0.5000, 0.5000, 0.5000)  4 Ni 2.97, 4 Cr 2.97
Ni (0.7500, 0.7500, 0.7500)  4 Cr 2.97, 4 K 2.97



# 4
Material: KCrNi
Method: DFT, PBE
State: optimized geometry

## Properties
The calculation puts the calculated formation energy at 0.977 eV/atom. For the polymorph energy (0 for the lowest one), the calculation gives 230 meV per atom.

Unit cell a=4.2180 b=4.2180 c=4.6864 alpha=90.00 beta=90.00 gamma=120.00
With the nearest neighbours (Å) after each atom.
Fractional coordinates of all 3 atoms:
K (0.0000, 0.0000, 0.0000)  6 Cr 3.38, 6 Ni 3.38
Cr (0.3333, 0.6667, 0.5000)  3 Ni 2.44
Ni (0.6667, 0.3333, 0.5000)  3 Cr 2.44



# 5
Material: KCr2Ni
Method: DFT, PBE
State: optimized geometry

## Properties
The calculation puts the calculated formation energy at 1.148 eV/atom. For the polymorph energy (0 for the lowest one), the calculation gives 473 meV per atom.

Unit cell a=3.0300 b=4.7556 c=5.0698 alpha=90.00 beta=90.00 gamma=90.00
With the nearest neighbours (Å) after each atom.
Fractional coordinates of all 4 atoms:
K (0.0000, 0.0000, 0.0000)  4 Ni 2.82, 4 Cr 2.95, 2 K 3.03
Cr (0.0000, 0.5000, 0.5000)  6 Cr 2.82-3.03, 4 Ni 2.95
Cr (0.5000, 0.0000, 0.5000)  6 Cr 2.82-3.03, 4 K 2.95
Ni (0.5000, 0.5000, 0.0000)  4 K 2.82, 4 Cr 2.95, 2 Ni 3.03



# 6
Material: KCrNi3
Method: DFT, PBE
State: optimized geometry

## Properties
The calculation puts the calculated formation energy at 1.023 eV/atom. For the polymorph energy (0 for the lowest one), the calculation gives 0 meV per atom.

Unit cell a=4.5021 b=4.5021 c=4.5021 alpha=90.00 beta=90.00 gamma=90.00
With the nearest neighbours (Å) after each atom.
Fractional coordinates of all 5 atoms:
K (0.0000, 0.0000, 0.0000)  12 Ni 3.18
Cr (0.5000, 0.5000, 0.5000)  6 Ni 2.25
Ni (0.0000, 0.5000, 0.5000)  2 Cr 2.25
Ni (0.5000, 0.0000, 0.5000)  2 Cr 2.25
Ni (0.5000, 0.5000, 0.0000)  2 Cr 2.25



# 7
Material: K2CrNi
Method: DFT, PBE
State: optimized geometry

## Properties
The calculation puts the calculated formation energy at 1.177 eV/atom. For the polymorph energy (0 for the lowest one), the calculation gives 523 meV per atom.

Unit cell a=11.3388 b=11.3388 c=11.3388 alpha=16.84 beta=16.84 gamma=16.84
With the nearest neighbours (Å) after each atom.
Fractional coordinates of all 4 atoms:
K (0.2408, 0.2408, 0.2408)  3 Ni 3.14, 6 K 3.32
K (0.7592, 0.7592, 0.7592)  3 Ni 3.14, 6 K 3.32
Cr (0.0000, 0.0000, 0.0000)  6 Cr 3.32, 6 K 3.65
Ni (0.5000, 0.5000, 0.5000)  6 K 3.14, 6 Ni 3.32



# 8
Material: KCrNi2
Method: DFT, PBE
State: optimized geometry

## Properties
The calculation puts the calculated formation energy at 0.981 eV/atom. For the polymorph energy (0 for the lowest one), the calculation gives 471 meV per atom.

Unit cell a=4.9051 b=4.9051 c=2.7581 alpha=90.14 beta=90.14 gamma=101.89
With the nearest neighbours (Å) after each atom.
Fractional coordinates of all 4 atoms:
K (0.0000, 0.0000, 0.0000)  2 K 2.76, 8 Ni 2.81-2.82
Cr (0.5000, 0.5000, 0.0000)  2 Cr 2.76, 8 Ni 2.81-2.82
Ni (0.0000, 0.5000, 0.5000)  2 Ni 2.76, 4 Cr 2.81-2.82, 4 K 2.81-2.82
Ni (0.5000, 0.0000, 0.5000)  2 Ni 2.76, 4 Cr 2.81-2.82, 4 K 2.81-2.82



# 9
Material: KCrNi2
Method: DFT, PBE
State: optimized geometry

## Properties
The calculation puts the calculated formation energy at 0.882 eV/atom. For the polymorph energy (0 for the lowest one), the calculation gives 372 meV per atom.

Unit cell a=5.8269 b=5.8269 c=5.8269 alpha=153.16 beta=128.50 gamma=59.02
With the nearest neighbours (Å) after each atom.
Fractional coordinates of all 4 atoms:
K (0.0000, 0.0000, 0.0000)  2 K 2.70, 4 Ni 2.87
Cr (0.6992, 0.1992, 0.5000)  2 Ni 2.52, 2 Cr 2.70
Ni (0.2874, 0.7874, 0.5000)  4 Ni 2.45-2.70
Ni (0.4893, 0.4893, 0.0000)  4 Ni 2.45-2.70, 2 Cr 2.52



# 10
Material: K2CrNi
Method: DFT, PBE
State: optimized geometry

## Properties
The calculation puts the calculated formation energy at 0.790 eV/atom. For the polymorph energy (0 for the lowest one), the calculation gives 135 meV per atom.

Unit cell a=6.2541 b=6.2541 c=5.9061 alpha=118.12 beta=118.12 gamma=40.11
With the nearest neighbours (Å) after each atom.
Fractional coordinates of all 4 atoms:
K (0.0000, 0.0000, 0.0000)  4 K 3.51-3.83, 4 Ni 3.60-3.70, 5 Cr 3.83-3.92
K (0.1873, 0.1873, 0.6872)  4 K 3.51-3.83, 4 Cr 3.57-3.74, 4 Ni 3.81-3.82
Cr (0.3855, 0.3855, 0.3852)  2 Ni 2.33
Ni (0.7968, 0.7968, 0.2984)  2 Cr 2.33



# 11
Material: KCr2Ni
Method: DFT, PBE
State: optimized geometry

## Properties
The calculation puts the calculated formation energy at 1.052 eV/atom. For the polymorph energy (0 for the lowest one), the calculation gives 377 meV per atom.

Unit cell a=5.7842 b=5.7842 c=5.7842 alpha=150.94 beta=123.92 gamma=64.39
With the nearest neighbours (Å) after each atom.
Fractional coordinates of all 4 atoms:
K (0.0000, 0.0000, 0.0000)  2 K 2.90, 4 Cr 3.08, 2 Ni 3.13
Cr (0.4874, 0.4874, 0.0000)  2 Ni 2.47, 2 Cr 2.50
Cr (0.6954, 0.1954, 0.5000)  2 Cr 2.50
Ni (0.2837, 0.7837, 0.5000)  2 Cr 2.47



# 12
Material: KCr2Ni
Method: DFT, PBE
State: optimized geometry

## Properties
The calculation puts the calculated formation energy at 0.764 eV/atom. For the polymorph energy (0 for the lowest one), the calculation gives 89 meV per atom.

Unit cell a=4.5210 b=4.5210 c=6.9972 alpha=98.41 beta=98.41 gamma=38.19
With the nearest neighbours (Å) after each atom.
Fractional coordinates of all 4 atoms:
K (0.0000, 0.0000, 0.0000)  2 K 2.96
Cr (0.2061, 0.2061, 0.6066)  2 Ni 2.41, 2 Cr 2.42
Cr (0.4912, 0.4912, 0.4782)  2 Cr 2.42, 3 Ni 2.45-2.64
Ni (0.7686, 0.7686, 0.3567)  5 Cr 2.41-2.64



# 13
Material: KCrNi2
Method: DFT, PBE
State: optimized geometry

## Properties
The calculation puts the calculated formation energy at 1.161 eV/atom. For the polymorph energy (0 for the lowest one), the calculation gives 651 meV per atom.

Unit cell a=4.9427 b=4.9427 c=4.9427 alpha=130.48 beta=130.48 gamma=72.65
With the nearest neighbours (Å) after each atom.
Fractional coordinates of all 4 atoms:
K (0.0000, 0.0000, 0.0000)  4 Cr 2.87, 8 Ni 2.87-2.93
Cr (0.7500, 0.2500, 0.5000)  8 Ni 2.87-2.93, 4 K 2.87
Ni (0.2500, 0.7500, 0.5000)  4 Ni 2.87, 4 K 2.87, 4 Cr 2.93
Ni (0.5000, 0.5000, 0.0000)  4 Cr 2.87, 4 Ni 2.87, 4 K 2.93



# 14
Material: KCr2Ni
Method: DFT, PBE
State: optimized geometry

## Properties
The calculation puts the calculated formation energy at 0.871 eV/atom. For the polymorph energy (0 for the lowest one), the calculation gives 196 meV per atom.

Unit cell a=3.0275 b=3.0284 c=8.6707 alpha=90.00 beta=90.12 gamma=90.00
With the nearest neighbours (Å) after each atom.
Fractional coordinates of all 4 atoms:
K (0.0000, 0.0000, 0.0000)  4 K 3.03
Cr (0.4988, 0.5000, 0.3388)  4 Ni 2.56, 1 Cr 2.79
Cr (0.5012, 0.5000, 0.6612)  4 Ni 2.56, 1 Cr 2.79
Ni (0.0000, 0.0000, 0.5000)  8 Cr 2.56



# 15
Material: K2CrNi
Method: DFT, PBE
State: optimized geometry

## Properties
The calculation puts the calculated formation energy at 1.124 eV/atom. For the polymorph energy (0 for the lowest one), the calculation gives 469 meV per atom.

Unit cell a=3.3675 b=5.1737 c=6.4134 alpha=90.00 beta=90.13 gamma=90.00
With the nearest neighbours (Å) after each atom.
Fractional coordinates of all 4 atoms:
K (0.0005, 0.0000, 0.2347)  3 K 3.01-3.37
K (0.9995, 0.0000, 0.7653)  3 K 3.01-3.37
Cr (0.5000, 0.5000, 0.5000)  2 Ni 3.21, 2 Cr 3.37, 8 K 3.52-3.53
Ni (0.5000, 0.5000, 0.0000)  2 Cr 3.21, 2 Ni 3.37, 8 K 3.43



# 16
Material: KCrNi
Method: DFT, PBE
State: optimized geometry

## Properties
The calculation puts the calculated formation energy at 0.748 eV/atom. For the polymorph energy (0 for the lowest one), the calculation gives 0 meV per atom.

Unit cell a=6.5393 b=6.5393 c=6.5393 alpha=154.07 beta=146.57 gamma=42.79
With the nearest neighbours (Å) after each atom.
Fractional coordinates of all 3 atoms:
K (0.0000, 0.0000, 0.0000)  2 K 2.93
Cr (0.2707, 0.2707, 0.0000)  4 Ni 2.47
Ni (0.7183, 0.7183, 0.0000)  4 Cr 2.47



# 17
Material: KCrNi2
Method: DFT, PBE
State: optimized geometry

## Properties
The calculation puts the calculated formation energy at 0.696 eV/atom. For the polymorph energy (0 for the lowest one), the calculation gives 186 meV per atom.

Unit cell a=3.0473 b=3.0473 c=7.8553 alpha=90.00 beta=90.00 gamma=90.00
With the nearest neighbours (Å) after each atom.
Fractional coordinates of all 4 atoms:
K (0.0000, 0.0000, 0.0000)  4 K 3.05, 4 Ni 3.27
Cr (0.5000, 0.5000, 0.6263)  5 Ni 2.46-2.49
Ni (0.0000, 0.0000, 0.4682)  4 Ni 2.47, 4 Cr 2.49
Ni (0.5000, 0.5000, 0.3133)  1 Cr 2.46, 4 Ni 2.47



# 18
Material: KCrNi2
Method: DFT, PBE
State: optimized geometry

## Properties
The calculation puts the calculated formation energy at 0.683 eV/atom. For the polymorph energy (0 for the lowest one), the calculation gives 173 meV per atom.

Unit cell a=4.4927 b=4.4927 c=6.6013 alpha=97.52 beta=97.52 gamma=36.59
With the nearest neighbours (Å) after each atom.
Fractional coordinates of all 4 atoms:
K (0.0000, 0.0000, 0.0000)  2 K 2.82, 1 Ni 3.13
Cr (0.7860, 0.7860, 0.4056)  5 Ni 2.32-2.52
Ni (0.2248, 0.2248, 0.6627)  2 Cr 2.32, 2 Ni 2.43
Ni (0.5105, 0.5105, 0.5018)  3 Cr 2.39-2.52, 2 Ni 2.43



# 19
Material: KCr2Ni
Method: DFT, PBE
State: optimized geometry

## Properties
The calculation puts the calculated formation energy at 1.397 eV/atom. For the polymorph energy (0 for the lowest one), the calculation gives 722 meV per atom.

Unit cell a=4.9857 b=4.9857 c=3.1100 alpha=90.00 beta=90.00 gamma=90.00
With the nearest neighbours (Å) after each atom.
Fractional coordinates of all 4 atoms:
K (0.0000, 0.0000, 0.0000)  8 Cr 2.94, 2 K 3.11
Cr (0.0000, 0.5000, 0.5000)  4 K 2.94, 4 Ni 2.94, 2 Cr 3.11
Cr (0.5000, 0.0000, 0.5000)  4 K 2.94, 4 Ni 2.94, 2 Cr 3.11
Ni (0.5000, 0.5000, 0.0000)  8 Cr 2.94, 2 Ni 3.11



# 20
Material: KCrNi2
Method: DFT, PBE
State: optimized geometry

## Properties
The calculation puts the calculated formation energy at 1.172 eV/atom. For the polymorph energy (0 for the lowest one), the calculation gives 662 meV per atom.

Unit cell a=4.5728 b=4.5728 c=4.5728 alpha=60.00 beta=60.00 gamma=60.00
With the nearest neighbours (Å) after each atom.
Fractional coordinates of all 4 atoms:
K (0.0000, 0.0000, 0.0000)  4 Cr 2.80, 4 Ni 2.80
Cr (0.7500, 0.7500, 0.7500)  4 K 2.80, 4 Ni 2.80
Ni (0.2500, 0.2500, 0.2500)  4 K 2.80, 4 Ni 2.80
Ni (0.5000, 0.5000, 0.5000)  4 Cr 2.80, 4 Ni 2.80